# 1
# RbTlZn | OQMD | PBE-GGA | relaxed
data_RbTlZn
_chemical_formula_sum 'Rb4 Tl4 Zn4'
_cell_length_a 7.897
_cell_length_b 7.897
_cell_length_c 7.897
_cell_angle_alpha 90.00
_cell_angle_beta 90.00
_cell_angle_gamma 90.00
_space_group_name_H-M_alt 'P 1'
_space_group_IT_number 1
_space_group_name_Hall 'P 1'
loop_
_atom_site_label
_atom_site_fract_x
_atom_site_fract_y
_atom_site_fract_z
Rb1 0.000 0.000 0.000
Rb2 0.000 0.500 0.500
Rb3 0.500 0.000 0.500
Rb4 0.500 0.500 0.000
Tl1 0.250 0.250 0.250
Tl2 0.250 0.750 0.750
Tl3 0.750 0.250 0.750
Tl4 0.750 0.750 0.250
Zn1 0.000 0.000 0.500
Zn2 0.000 0.500 0.000
Zn3 0.500 0.000 0.000
Zn4 0.500 0.500 0.500
# VASP energy, eV/atom: -1.230

# 2
# RbTm | OQMD | PBE-GGA | relaxed
data_RbTm
_chemical_formula_sum 'Rb4 Tm4'
_cell_length_a 7.391
_cell_length_b 7.391
_cell_length_c 7.391
_cell_angle_alpha 90.00
_cell_angle_beta 90.00
_cell_angle_gamma 90.00
_space_group_name_H-M_alt 'P 1'
_space_group_IT_number 1
_space_group_name_Hall 'P 1'
loop_
_atom_site_label
_atom_site_fract_x
_atom_site_fract_y
_atom_site_fract_z
Rb1 0.000 0.000 0.000
Rb2 0.000 0.500 0.500
Rb3 0.500 0.000 0.500
Rb4 0.500 0.500 0.000
Tm1 0.000 0.000 0.500
Tm2 0.000 0.500 0.000
Tm3 0.500 0.000 0.000
Tm4 0.500 0.500 0.500
# VASP energy, eV/atom: -1.364

# 3
# RbTm | OQMD | PBE-GGA | relaxed
data_RbTm
_chemical_formula_sum 'Rb1 Tm1'
_cell_length_a 3.696
_cell_length_b 3.696
_cell_length_c 7.311
_cell_angle_alpha 90.00
_cell_angle_beta 90.00
_cell_angle_gamma 120.00
_space_group_name_H-M_alt 'P 1'
_space_group_IT_number 1
_space_group_name_Hall 'P 1'
loop_
_atom_site_label
_atom_site_fract_x
_atom_site_fract_y
_atom_site_fract_z
Rb1 0.000 0.000 0.000
Tm1 0.667 0.333 0.500
# VASP energy, eV/atom: -2.054

# 4
# RbTm | OQMD | PBE-GGA | relaxed
data_RbTm
_chemical_formula_sum 'Rb4 Tm4'
_cell_length_a 8.934
_cell_length_b 8.934
_cell_length_c 8.934
_cell_angle_alpha 90.00
_cell_angle_beta 90.00
_cell_angle_gamma 90.00
_space_group_name_H-M_alt 'P 1'
_space_group_IT_number 1
_space_group_name_Hall 'P 1'
loop_
_atom_site_label
_atom_site_fract_x
_atom_site_fract_y
_atom_site_fract_z
Rb1 0.000 0.000 0.000
Rb2 0.000 0.500 0.500
Rb3 0.500 0.000 0.500
Rb4 0.500 0.500 0.000
Tm1 0.250 0.250 0.750
Tm2 0.250 0.750 0.250
Tm3 0.750 0.250 0.250
Tm4 0.750 0.750 0.750
# VASP energy, eV/atom: -0.872

# 5
# RbTmW | OQMD | PBE-GGA | relaxed
data_RbTmW
_chemical_formula_sum 'Rb4 Tm4 W4'
_cell_length_a 7.467
_cell_length_b 7.467
_cell_length_c 7.467
_cell_angle_alpha 90.00
_cell_angle_beta 90.00
_cell_angle_gamma 90.00
_space_group_name_H-M_alt 'P 1'
_space_group_IT_number 1
_space_group_name_Hall 'P 1'
loop_
_atom_site_label
_atom_site_fract_x
_atom_site_fract_y
_atom_site_fract_z
Rb1 0.000 0.000 0.000
Rb2 0.000 0.500 0.500
Rb3 0.500 0.000 0.500
Rb4 0.500 0.500 0.000
Tm1 0.250 0.250 0.250
Tm2 0.250 0.750 0.750
Tm3 0.750 0.250 0.750
Tm4 0.750 0.750 0.250
W1 0.000 0.000 0.500
W2 0.000 0.500 0.000
W3 0.500 0.000 0.000
W4 0.500 0.500 0.500
# VASP energy, eV/atom: -3.907

# 6
# RbTmZn | OQMD | PBE-GGA | relaxed
data_RbTmZn
_chemical_formula_sum 'Rb4 Tm4 Zn4'
_cell_length_a 7.629
_cell_length_b 7.629
_cell_length_c 7.629
_cell_angle_alpha 90.00
_cell_angle_beta 90.00
_cell_angle_gamma 90.00
_space_group_name_H-M_alt 'P 1'
_space_group_IT_number 1
_space_group_name_Hall 'P 1'
loop_
_atom_site_label
_atom_site_fract_x
_atom_site_fract_y
_atom_site_fract_z
Rb1 0.000 0.000 0.000
Rb2 0.000 0.500 0.500
Rb3 0.500 0.000 0.500
Rb4 0.500 0.500 0.000
Tm1 0.000 0.000 0.500
Tm2 0.000 0.500 0.000
Tm3 0.500 0.000 0.000
Tm4 0.500 0.500 0.500
Zn1 0.250 0.250 0.250
Zn2 0.250 0.750 0.750
Zn3 0.750 0.250 0.750
Zn4 0.750 0.750 0.250
# VASP energy, eV/atom: -1.584
# Relative energy among the computed polymorphs, meV per atom: 0

# 7
# RbTmZr | OQMD | PBE-GGA | relaxed
data_RbTmZr
_chemical_formula_sum 'Rb4 Tm4 Zr4'
_cell_length_a 8.250
_cell_length_b 8.250
_cell_length_c 8.250
_cell_angle_alpha 90.00
_cell_angle_beta 90.00
_cell_angle_gamma 90.00
_space_group_name_H-M_alt 'P 1'
_space_group_IT_number 1
_space_group_name_Hall 'P 1'
loop_
_atom_site_label
_atom_site_fract_x
_atom_site_fract_y
_atom_site_fract_z
Rb1 0.000 0.000 0.000
Rb2 0.000 0.500 0.500
Rb3 0.500 0.000 0.500
Rb4 0.500 0.500 0.000
Tm1 0.000 0.000 0.500
Tm2 0.000 0.500 0.000
Tm3 0.500 0.000 0.000
Tm4 0.500 0.500 0.500
Zr1 0.250 0.250 0.250
Zr2 0.250 0.750 0.750
Zr3 0.750 0.250 0.750
Zr4 0.750 0.750 0.250
# VASP energy, eV/atom: -3.143
# Relative energy among the computed polymorphs, meV per atom: 0

# 8
# RbU | OQMD | PBE-GGA | relaxed
data_RbU
_chemical_formula_sum 'Rb4 U4'
_cell_length_a 7.260
_cell_length_b 7.260
_cell_length_c 7.260
_cell_angle_alpha 90.00
_cell_angle_beta 90.00
_cell_angle_gamma 90.00
_space_group_name_H-M_alt 'P 1'
_space_group_IT_number 1
_space_group_name_Hall 'P 1'
loop_
_atom_site_label
_atom_site_fract_x
_atom_site_fract_y
_atom_site_fract_z
Rb1 0.000 0.000 0.000
Rb2 0.000 0.500 0.500
Rb3 0.500 0.000 0.500
Rb4 0.500 0.500 0.000
U1 0.000 0.000 0.500
U2 0.000 0.500 0.000
U3 0.500 0.000 0.000
U4 0.500 0.500 0.500
# VASP energy, eV/atom: -3.599

# 9
# RbU | OQMD | PBE-GGA | relaxed
data_RbU
_chemical_formula_sum 'Rb4 U4'
_cell_length_a 8.404
_cell_length_b 8.404
_cell_length_c 8.404
_cell_angle_alpha 90.00
_cell_angle_beta 90.00
_cell_angle_gamma 90.00
_space_group_name_H-M_alt 'P 1'
_space_group_IT_number 1
_space_group_name_Hall 'P 1'
loop_
_atom_site_label
_atom_site_fract_x
_atom_site_fract_y
_atom_site_fract_z
Rb1 0.000 0.000 0.000
Rb2 0.000 0.500 0.500
Rb3 0.500 0.000 0.500
Rb4 0.500 0.500 0.000
U1 0.250 0.250 0.750
U2 0.250 0.750 0.250
U3 0.750 0.250 0.250
U4 0.750 0.750 0.750
# VASP energy, eV/atom: -3.098

# 10
# RbU | OQMD | PBE-GGA | relaxed
data_RbU
_chemical_formula_sum 'Rb1 U1'
_cell_length_a 3.201
_cell_length_b 3.201
_cell_length_c 7.266
_cell_angle_alpha 90.00
_cell_angle_beta 90.00
_cell_angle_gamma 120.00
_space_group_name_H-M_alt 'P 1'
_space_group_IT_number 1
_space_group_name_Hall 'P 1'
loop_
_atom_site_label
_atom_site_fract_x
_atom_site_fract_y
_atom_site_fract_z
Rb1 0.000 0.000 0.000
U1 0.667 0.333 0.500
# VASP energy, eV/atom: -4.781

# 11
# RbUW | OQMD | PBE-GGA | relaxed
data_RbUW
_chemical_formula_sum 'Rb4 U4 W4'
_cell_length_a 6.793
_cell_length_b 6.793
_cell_length_c 6.793
_cell_angle_alpha 90.00
_cell_angle_beta 90.00
_cell_angle_gamma 90.00
_space_group_name_H-M_alt 'P 1'
_space_group_IT_number 1
_space_group_name_Hall 'P 1'
loop_
_atom_site_label
_atom_site_fract_x
_atom_site_fract_y
_atom_site_fract_z
Rb1 0.000 0.000 0.000
Rb2 0.000 0.500 0.500
Rb3 0.500 0.000 0.500
Rb4 0.500 0.500 0.000
U1 0.250 0.250 0.250
U2 0.250 0.750 0.750
U3 0.750 0.250 0.750
U4 0.750 0.750 0.250
W1 0.000 0.000 0.500
W2 0.000 0.500 0.000
W3 0.500 0.000 0.000
W4 0.500 0.500 0.500
# VASP energy, eV/atom: -5.843

# 12
# RbYU | OQMD | PBE-GGA | relaxed
data_RbYU
_chemical_formula_sum 'Rb4 Y4 U4'
_cell_length_a 8.230
_cell_length_b 8.230
_cell_length_c 8.230
_cell_angle_alpha 90.00
_cell_angle_beta 90.00
_cell_angle_gamma 90.00
_space_group_name_H-M_alt 'P 1'
_space_group_IT_number 1
_space_group_name_Hall 'P 1'
loop_
_atom_site_label
_atom_site_fract_x
_atom_site_fract_y
_atom_site_fract_z
Rb1 0.000 0.000 0.000
Rb2 0.000 0.500 0.500
Rb3 0.500 0.000 0.500
Rb4 0.500 0.500 0.000
Y1 0.000 0.000 0.500
Y2 0.000 0.500 0.000
Y3 0.500 0.000 0.000
Y4 0.500 0.500 0.500
U1 0.250 0.250 0.250
U2 0.250 0.750 0.750
U3 0.750 0.250 0.750
U4 0.750 0.750 0.250
# VASP energy, eV/atom: -4.308
# Relative energy among the computed polymorphs, meV per atom: 0

# 13
# RbW | OQMD | PBE-GGA | relaxed
data_RbW
_chemical_formula_sum 'Rb4 W4'
_cell_length_a 8.333
_cell_length_b 8.333
_cell_length_c 8.333
_cell_angle_alpha 90.00
_cell_angle_beta 90.00
_cell_angle_gamma 90.00
_space_group_name_H-M_alt 'P 1'
_space_group_IT_number 1
_space_group_name_Hall 'P 1'
loop_
_atom_site_label
_atom_site_fract_x
_atom_site_fract_y
_atom_site_fract_z
Rb1 0.000 0.000 0.000
Rb2 0.000 0.500 0.500
Rb3 0.500 0.000 0.500
Rb4 0.500 0.500 0.000
W1 0.250 0.250 0.750
W2 0.250 0.750 0.250
W3 0.750 0.250 0.250
W4 0.750 0.750 0.750
# VASP energy, eV/atom: -3.558
# Relative energy among the computed polymorphs, meV per atom: 1465

# 14
# Rb2W | OQMD | PBE-GGA | relaxed
data_Rb2W
_chemical_formula_sum 'Rb4 W2'
_cell_length_a 7.303
_cell_length_b 7.303
_cell_length_c 7.303
_cell_angle_alpha 60.00
_cell_angle_beta 60.00
_cell_angle_gamma 60.00
_space_group_name_H-M_alt 'P 1'
_space_group_IT_number 1
_space_group_name_Hall 'P 1'
loop_
_atom_site_label
_atom_site_fract_x
_atom_site_fract_y
_atom_site_fract_z
Rb1 0.000 0.000 0.000
Rb2 0.000 0.000 0.500
Rb3 0.000 0.500 0.000
Rb4 0.500 0.000 0.000
W1 0.375 0.375 0.375
W2 0.625 0.625 0.625
# VASP energy, eV/atom: -2.655